CoPt2W: single point on PBEsol structure, SCAN.

The structure in POSCAR format:
```
CoPt2W
1.0
2.700 0.000 0.000
0.000 4.356 0.000
0.000 0.000 4.776
Co Pt W
1 2 1
Direct
0.000 0.000 0.000
0.500 0.000 0.494
0.500 0.500 0.831
0.000 0.500 0.313
```

Output
As for the volume: 14.0 Å³ per atom. As for the magnetization: 1.98 Bohr magnetons per cell. The space group is Pmm2, No. 25. The value obtained for the energy above the most stable polymorph in this dataset is 0.0 meV/atom.


CoPtW2: single point on PBEsol structure, SCAN.

The structure in POSCAR format:
```
CoPtW2
1.0
0.000 3.068 3.068
3.068 0.000 3.068
3.068 3.068 0.000
Co Pt W
1 1 2
Direct
0.000 0.000 0.000
0.500 0.500 0.500
0.250 0.250 0.250
0.750 0.750 0.750
```

Output
As for the volume: 14.4 Å³ per atom. As for the magnetization: 1.81 Bohr magnetons per cell. The space group is Fm-3m, No. 225. The value obtained for the energy above the most stable polymorph in this dataset is 469.2 meV/atom.


CoPtW2: single point on PBEsol structure, SCAN.

The structure in POSCAR format:
```
CoPtW2
1.0
3.760 0.000 0.000
0.000 3.760 0.000
0.000 0.000 3.947
Co Pt W
1 1 2
Direct
0.000 0.000 0.000
0.500 0.500 0.000
0.000 0.500 0.500
0.500 0.000 0.500
```

Output
As for the volume: 13.9 Å³ per atom. As for the magnetization: 0.52 Bohr magnetons per cell. The space group is P4/mmm, No. 123. The value obtained for the energy above the most stable polymorph in this dataset is 8.2 meV/atom.


Co4PtW: single point on PBEsol structure, SCAN.

The structure in POSCAR format:
```
Co4PtW
1.0
0.000 3.258 3.258
3.258 0.000 3.258
3.258 3.258 0.000
Co Pt W
4 1 1
Direct
0.125 0.125 0.125
0.125 0.125 0.626
0.125 0.626 0.125
0.626 0.125 0.125
0.750 0.750 0.750
0.500 0.500 0.500
```

Output
As for the volume: 11.5 Å³ per atom. The calculation puts the calculated total energy at -34.81 eV per atom. As for the magnetization: 6.01 Bohr magnetons per cell. The space group is F-43m, No. 216.


Copy entry 2 word for word.
CoPtW2: single point on PBEsol structure, SCAN.

The structure in POSCAR format:
```
CoPtW2
1.0
0.000 3.068 3.068
3.068 0.000 3.068
3.068 3.068 0.000
Co Pt W
1 1 2
Direct
0.000 0.000 0.000
0.500 0.500 0.500
0.250 0.250 0.250
0.750 0.750 0.750
```

Output
As for the volume: 14.4 Å³ per atom. As for the magnetization: 1.81 Bohr magnetons per cell. The space group is Fm-3m, No. 225. The value obtained for the energy above the most stable polymorph in this dataset is 469.2 meV/atom.


- Which of these has the highest magnetization?
  Co4PtW